Entry 1:
A relaxed HfAlS crystal, computed with PBE.

Cell lengths 3.5898, 3.5898, 8.3510 Å; angles 90.00, 90.00, 90.00 degrees
Atoms (fractional coordinates):
1 S 0.0000 0.5000 0.3837
2 S 0.5000 0.0000 0.6163
3 Hf 0.5000 0.0000 0.2874
4 Al 0.0000 0.0000 0.0000
5 Hf 0.0000 0.5000 0.7126
6 Al 0.5000 0.5000 0.0000

energy = -41.05 eV per cell
total magnetization = 0.000 μB/f.u.
DOS at the Fermi energy = 0.89 states/eV/f.u.
E_form (uncorrected) = -260.7 kJ/mol of formula units


Entry 2:
A relaxed Tl3H2Cl4 crystal, computed with PBE.

Cell lengths 8.9810, 7.9245, 7.9246 Å; angles 70.53, 77.85, 77.85 degrees
Atoms (fractional coordinates):
1 Cl 0.9470 0.7184 0.0887
2 Tl 0.7500 0.2875 0.7125
3 H 0.4961 0.2076 0.5501
4 Cl 0.0838 0.3447 0.3636
5 Tl 0.8717 0.0675 0.3513
6 Cl 0.5838 0.3636 0.3447
7 Cl 0.4162 0.6364 0.6553
8 Cl 0.5530 0.9113 0.2816
9 Tl 0.3717 0.3513 0.0675
10 H 0.0039 0.4499 0.7924
11 H 0.5039 0.7924 0.4499
12 Tl 0.6283 0.6487 0.9325
13 Cl 0.9162 0.6553 0.6364
14 Cl 0.4470 0.0887 0.7184
15 H 0.9961 0.5501 0.2076
16 Cl 0.0530 0.2816 0.9113
17 Tl 0.2500 0.7125 0.2875
18 Tl 0.1283 0.9325 0.6487

energy = -52.50 eV per cell
total magnetization = 0.000 μB/f.u.
DOS at the Fermi energy = 1.92 states/eV/f.u.


Entry 3:
A relaxed CoTcAg2 crystal, computed with PBE.

Cell lengths 2.6529, 2.6529, 8.6741 Å; angles 90.00, 90.00, 89.95 degrees
Atoms (fractional coordinates):
1 Ag 0.0000 0.0000 0.0125
2 Tc 0.5000 0.5000 0.7500
3 Co 0.5000 0.5000 0.2500
4 Ag 0.0000 0.0000 0.4875

energy = -21.01 eV per cell
total magnetization = 2.042 μB/f.u.
formation energy = 2.168 eV/f.u.
DOS at the Fermi energy = 3.64 states/eV/f.u.


Entry 4:
A relaxed Ac3ErPt8 crystal, computed with PBE.

Cell lengths 5.5999, 5.5999, 9.7110 Å; angles 73.24, 73.24, 60.00 degrees
Atoms (fractional coordinates):
1 Ac 0.3756 0.3756 0.8732
2 Pt 0.4362 0.9351 0.1925
3 Pt 0.1879 0.1879 0.4362
4 Pt 0.6877 0.6877 0.9370
5 Pt 0.9383 0.9383 0.6815
6 Pt 0.9351 0.4362 0.1925
7 Pt 0.9383 0.4420 0.6815
8 Pt 0.4362 0.4362 0.1925
9 Ac 0.5019 0.5019 0.4944
10 Ac 0.9974 0.9974 0.0078
11 Er 0.8735 0.8735 0.3795
12 Pt 0.4420 0.9383 0.6815

energy = -77.61 eV per cell
total magnetization = 0.000 μB/f.u.
formation energy = -12.396 eV/f.u.
DOS at the Fermi energy = 2.65 states/eV/f.u.


Entry 5:
A relaxed Pr3Dy3Y8 crystal, computed with PBE.

Cell lengths 5.6989, 9.7752, 9.7752 Å; angles 103.05, 73.05, 73.05 degrees
Atoms (fractional coordinates):
1 Y 0.8390 0.7642 0.5577
2 Y 0.1610 0.2358 0.4423
3 Pr 0.8089 0.1911 0.1911
4 Pr 0.1911 0.8089 0.8089
5 Y 0.3404 0.8810 0.4382
6 Y 0.3404 0.4382 0.8810
7 Dy 0.0000 0.8126 0.1874
8 Y 0.6596 0.1190 0.5618
9 Pr 0.5000 0.5000 0.5000
10 Y 0.1610 0.4423 0.2358
11 Dy 0.5000 0.0000 0.0000
12 Dy 0.0000 0.1874 0.8126
13 Y 0.6596 0.5618 0.1190
14 Y 0.8390 0.5577 0.7642

energy = -78.03 eV per cell
total magnetization = 0.000 μB/f.u.
formation energy = 1.823 eV/f.u.
DOS at the Fermi energy = 24.92 states/eV/f.u.


Entry 6:
A relaxed Ti6CuNi crystal, computed with PBE.

Cell lengths 5.7456, 5.7456, 5.5701 Å; angles 105.24, 105.24, 122.04 degrees
Atoms (fractional coordinates):
1 Ti 0.9557 0.5225 0.7510
2 Ti 0.2579 0.2579 0.7417
3 Ti 0.7421 0.7421 0.2583
4 Ni 0.5000 0.5000 0.5000
5 Cu 0.0000 0.0000 0.0000
6 Ti 0.0443 0.4775 0.2490
7 Ti 0.4775 0.0443 0.2490
8 Ti 0.5225 0.9557 0.7510

energy = -55.31 eV per cell
total magnetization = 0.003 μB/f.u.
formation energy = 1.934 eV/f.u.
DOS at the Fermi energy = 13.08 states/eV/f.u.


Entry 7:
A relaxed AcNdTePb crystal, computed with PBE.

Cell lengths 5.7108, 5.7108, 5.7108 Å; angles 60.00, 60.00, 60.00 degrees
Atoms (fractional coordinates):
1 Pb 0.7500 0.7500 0.7500
2 Te 0.2500 0.2500 0.2500
3 Nd 0.5000 0.5000 0.5000
4 Ac 0.0000 0.0000 0.0000

energy = -18.96 eV per cell
total magnetization = 0.000 μB/f.u.
DOS at the Fermi energy = 2.87 states/eV/f.u.
E_form (uncorrected) = -312.5 kJ/mol of formula units


Entry 8:
A relaxed AlCdIn crystal, computed with PBE.

Cell lengths 6.9730, 6.9991, 3.1571 Å; angles 65.78, 88.82, 101.61 degrees
Atoms (fractional coordinates):
1 In 0.4422 0.9000 0.6598
2 In 0.4423 0.4000 0.1596
3 Al 0.7566 0.7289 0.3276
4 Al 0.7566 0.2287 0.8277
5 Cd 0.0508 0.0530 0.4990
6 Cd 0.0507 0.5530 0.9991

energy = -14.00 eV per cell
total magnetization = 0.000 μB/f.u.
formation energy = 0.395 eV/f.u.
DOS at the Fermi energy = 1.22 states/eV/f.u.


Entry 9:
A relaxed PrNdLuMg crystal, computed with PBE.

Cell lengths 5.5872, 5.5872, 5.5872 Å; angles 60.00, 60.00, 60.00 degrees
Atoms (fractional coordinates):
1 Pr 0.2500 0.2500 0.2500
2 Mg 0.0000 0.0000 0.0000
3 Nd 0.7500 0.7500 0.7500
4 Lu 0.5000 0.5000 0.5000

energy = -15.66 eV per cell
total magnetization = 0.000 μB/f.u.
formation energy = 0.002 eV/f.u.
DOS at the Fermi energy = 4.17 states/eV/f.u.


Entry 10:
A relaxed MnInH crystal, computed with PBE.

Cell lengths 3.3154, 4.8271, 6.3986 Å; angles 57.56, 89.89, 110.20 degrees
Atoms (fractional coordinates):
1 H 0.7731 0.0465 0.3609
2 In 0.5682 0.6365 0.1685
3 Mn 0.1851 0.8720 0.4042
4 Mn 0.8149 0.1280 0.5958
5 In 0.4318 0.3635 0.8315
6 H 0.2269 0.9535 0.6391

energy = -29.96 eV per cell
total magnetization = 2.748 μB/f.u.
DOS at the Fermi energy = 1.47 states/eV/f.u.


Entry 11:
A relaxed SiHCl crystal, computed with PBE.

Cell lengths 3.9502, 6.0474, 6.7785 Å; angles 65.65, 89.85, 89.61 degrees
Atoms (fractional coordinates):
1 H 0.0129 0.7315 0.8030
2 Si 0.5149 0.3800 0.1662
3 H 0.5127 0.5178 0.3055
4 Cl 0.0178 0.2642 0.7741
5 Si 0.0148 0.4693 0.9562
6 Cl 0.5179 0.0111 0.3667

energy = -24.08 eV per cell
total magnetization = 0.000 μB/f.u.
DOS at the Fermi energy = 0.00 states/eV/f.u.


Entry 12:
A relaxed LiIn2Tc crystal, computed with PBE.

Cell lengths 9.3663, 9.3663, 9.3663 Å; angles 19.08, 19.08, 19.08 degrees
Atoms (fractional coordinates):
1 Tc 0.7500 0.7500 0.7500
2 Li 0.2500 0.2500 0.2500
3 In 0.0035 0.0035 0.0035
4 In 0.4965 0.4965 0.4965

energy = -17.14 eV per cell
total magnetization = 0.000 μB/f.u.
formation energy = 0.616 eV/f.u.
DOS at the Fermi energy = 2.82 states/eV/f.u.


Entry 13:
A relaxed Nd3In5O12 crystal, computed with PBE.

Cell lengths 11.5762, 11.5762, 11.5762 Å; angles 109.47, 109.47, 109.47 degrees
Atoms (fractional coordinates):
1 Nd 0.8750 0.1250 0.2500
2 O 0.6293 0.5905 0.9167
3 O 0.5833 0.8707 0.4095
4 O 0.7874 0.4611 0.3707
5 O 0.5833 0.7126 0.6737
6 O 0.9095 0.8263 0.5389
7 Nd 0.7500 0.8750 0.6250
8 O 0.0389 0.6293 0.7126
9 O 0.9611 0.5905 0.1737
10 Nd 0.8750 0.7500 0.1250
11 Nd 0.1250 0.2500 0.8750
12 O 0.7874 0.3263 0.9167
13 In 0.1250 0.3750 0.2500
14 O 0.6737 0.4611 0.5905
15 In 0.5000 0.0000 0.0000
16 In 0.0000 0.5000 0.5000
17 In 0.7500 0.6250 0.3750
18 In 0.0000 0.5000 0.0000
19 In 0.1250 0.7500 0.3750
20 In 0.5000 0.5000 0.5000
21 O 0.4167 0.1293 0.5905
22 In 0.0000 0.0000 0.0000
23 In 0.0000 0.0000 0.5000
24 O 0.5905 0.6293 0.4167
25 O 0.0833 0.9095 0.3707
26 Nd 0.3750 0.6250 0.2500
27 O 0.9095 0.0833 0.8707
28 Nd 0.6250 0.2500 0.3750
29 Nd 0.7500 0.3750 0.1250
30 O 0.6737 0.2126 0.5833
31 In 0.7500 0.1250 0.8750
32 O 0.4095 0.3707 0.5833
33 O 0.2126 0.5389 0.6293
34 O 0.0389 0.4095 0.8263
35 Nd 0.2500 0.6250 0.8750
36 O 0.3707 0.4095 0.0833
37 O 0.8707 0.5833 0.9095
38 O 0.7126 0.5833 0.1737
39 In 0.3750 0.1250 0.7500
40 O 0.2126 0.6737 0.0833
41 O 0.7126 0.1293 0.0389
42 O 0.8263 0.9095 0.0389
43 O 0.5389 0.3263 0.9095
44 O 0.3707 0.9611 0.7874
45 O 0.2874 0.4167 0.8263
46 O 0.9167 0.8263 0.7874
47 O 0.3263 0.5389 0.4095
48 In 0.6250 0.8750 0.2500
49 In 0.2500 0.8750 0.1250
50 O 0.0905 0.1737 0.4611
51 In 0.3750 0.2500 0.1250
52 In 0.2500 0.3750 0.6250
53 In 0.5000 0.0000 0.5000
54 O 0.1293 0.7126 0.5389
55 O 0.2874 0.8707 0.9611
56 Nd 0.6250 0.3750 0.7500
57 O 0.1293 0.4167 0.0905
58 In 0.8750 0.6250 0.7500
59 O 0.0833 0.1737 0.2126
60 O 0.4167 0.2874 0.3263
61 Nd 0.2500 0.1250 0.3750
62 O 0.8263 0.9167 0.2874
63 O 0.4095 0.0389 0.3263
64 In 0.6250 0.7500 0.8750
65 O 0.6293 0.0389 0.2126
66 O 0.9611 0.3707 0.2874
67 O 0.1737 0.0905 0.9611
68 Nd 0.1250 0.8750 0.7500
69 O 0.3263 0.7874 0.4167
70 O 0.5389 0.2126 0.1293
71 O 0.0905 0.9167 0.1293
72 O 0.1737 0.0833 0.7126
73 In 0.8750 0.2500 0.6250
74 O 0.9167 0.0905 0.6293
75 O 0.5905 0.9611 0.6737
76 O 0.8707 0.2874 0.4611
77 Nd 0.3750 0.7500 0.6250
78 In 0.5000 0.5000 0.0000
79 O 0.4611 0.6737 0.0905
80 O 0.4611 0.7874 0.8707

energy = -526.96 eV per cell
total magnetization = 0.000 μB/f.u.
DOS at the Fermi energy = 0.00 states/eV/f.u.
E_form (uncorrected) = -4269.0 kJ/mol of formula units


Entry 14:
A relaxed AgAs2HBr crystal, computed with PBE.

Cell lengths 5.0233, 5.0233, 5.6100 Å; angles 90.00, 90.00, 90.00 degrees
Atoms (fractional coordinates):
1 As 0.0000 0.5000 0.0000
2 Br 0.0000 0.0000 0.5000
3 As 0.5000 0.0000 0.0000
4 H 0.5000 0.5000 0.5000
5 Ag 0.0000 0.0000 0.0000

energy = -11.55 eV per cell
total magnetization = 2.188 μB/f.u.
DOS at the Fermi energy = 5.31 states/eV/f.u.


Entry 15:
A relaxed YTaAu2 crystal, computed with PBE.

Cell lengths 5.5298, 5.5298, 5.5298 Å; angles 135.90, 135.90, 64.14 degrees
Atoms (fractional coordinates):
1 Y 0.7500 0.2500 0.5000
2 Ta 0.5000 0.5000 0.0000
3 Au 0.0000 0.0000 0.0000
4 Au 0.2500 0.7500 0.5000

energy = -25.15 eV per cell
total magnetization = 0.001 μB/f.u.
formation energy = -0.275 eV/f.u.
DOS at the Fermi energy = 4.03 states/eV/f.u.


Entry 16:
A relaxed TmHfBi crystal, computed with PBE.

Cell lengths 3.7929, 3.7929, 10.8211 Å; angles 90.00, 90.00, 90.00 degrees
Atoms (fractional coordinates):
1 Bi 0.0000 0.5000 0.2194
2 Tm 0.0000 0.5000 0.5996
3 Tm 0.5000 0.0000 0.4004
4 Hf 0.5000 0.0000 0.0745
5 Hf 0.0000 0.5000 0.9255
6 Bi 0.5000 0.0000 0.7806

energy = -38.42 eV per cell
total magnetization = 0.000 μB/f.u.
formation energy = -0.904 eV/f.u.
DOS at the Fermi energy = 1.38 states/eV/f.u.


Entry 17:
A relaxed BeNbAl crystal, computed with PBE.

Cell lengths 5.1440, 3.8796, 9.5723 Å; angles 90.00, 116.88, 90.00 degrees
Atoms (fractional coordinates):
1 Be 0.6987 0.5000 0.3295
2 Be 0.1736 0.0000 0.4755
3 Al 0.6309 0.0000 0.4564
4 Nb 0.6250 0.5000 0.6626
5 Al 0.0668 0.5000 0.5780
6 Be 0.6987 0.0000 0.8295
7 Nb 0.1719 0.0000 0.7882
8 Be 0.1736 0.5000 0.9755
9 Al 0.6309 0.5000 0.9564
10 Al 0.0668 0.0000 0.0780
11 Nb 0.1719 0.5000 0.2882
12 Nb 0.6250 0.0000 0.1626

energy = -71.33 eV per cell
total magnetization = 0.000 μB/f.u.
formation energy = -0.294 eV/f.u.
DOS at the Fermi energy = 1.50 states/eV/f.u.


Entry 18:
A relaxed Nb3MoBr crystal, computed with PBE.

Cell lengths 4.9140, 4.9140, 4.9140 Å; angles 90.00, 90.00, 90.00 degrees
Atoms (fractional coordinates):
1 Nb 0.0000 0.5000 0.0000
2 Br 0.5000 0.5000 0.5000
3 Nb 0.0000 0.0000 0.5000
4 Mo 0.0000 0.0000 0.0000
5 Nb 0.5000 0.0000 0.0000

energy = -35.86 eV per cell
total magnetization = 0.000 μB/f.u.
DOS at the Fermi energy = 10.11 states/eV/f.u.
E_form (uncorrected) = 661.6 kJ/mol of formula units


Entry 19:
A relaxed SnHgOs2O crystal, computed with PBE.

Cell lengths 5.0701, 5.5734, 5.0701 Å; angles 90.00, 90.00, 90.00 degrees
Atoms (fractional coordinates):
1 Os 0.0000 0.0000 0.5000
2 Hg 0.0000 0.0000 0.0000
3 O 0.5000 0.5000 0.5000
4 Os 0.5000 0.0000 0.0000
5 Sn 0.0000 0.5000 0.0000

energy = -17.71 eV per cell
total magnetization = 5.923 μB/f.u.
DOS at the Fermi energy = 8.55 states/eV/f.u.
E_form (uncorrected) = 1352.1 kJ/mol of formula units


Entry 20:
A relaxed BaNiSe crystal, computed with PBE.

Cell lengths 4.3321, 7.6230, 6.2974 Å; angles 88.03, 90.03, 124.61 degrees
Atoms (fractional coordinates):
1 Se 0.8704 0.8491 0.6962
2 Ba 0.4945 0.9735 0.0946
3 Ni 0.4764 0.9550 0.5896
4 Ni 0.1309 0.1093 0.4352
5 Se 0.3990 0.3785 0.1666
6 Ba 0.9713 0.4503 0.5701

energy = -27.75 eV per cell
total magnetization = 0.000 μB/f.u.
DOS at the Fermi energy = 0.68 states/eV/f.u.
E_form (uncorrected) = -259.0 kJ/mol of formula units


Entry 21:
A relaxed SrAlGa2Tc crystal, computed with PBE.

Cell lengths 4.8809, 4.8809, 4.8157 Å; angles 90.00, 90.00, 90.00 degrees
Atoms (fractional coordinates):
1 Sr 0.5000 0.5000 0.5000
2 Al 0.0000 0.0000 0.5000
3 Tc 0.0000 0.0000 0.0000
4 Ga 0.5000 0.0000 0.0000
5 Ga 0.0000 0.5000 0.0000

energy = -23.54 eV per cell
total magnetization = 0.000 μB/f.u.
formation energy = -1.693 eV/f.u.
DOS at the Fermi energy = 0.98 states/eV/f.u.


Entry 22:
A relaxed Dy3BiPt crystal, computed with PBE.

Cell lengths 4.2757, 6.9571, 9.5913 Å; angles 90.00, 90.00, 90.00 degrees
Atoms (fractional coordinates):
1 Pt 0.7500 0.7500 0.4059
2 Bi 0.2500 0.7500 0.8513
3 Dy 0.7500 0.9959 0.6553
4 Bi 0.7500 0.2500 0.1487
5 Dy 0.2500 0.4959 0.3447
6 Dy 0.7500 0.5041 0.6553
7 Pt 0.2500 0.2500 0.5941
8 Dy 0.2500 0.2500 0.9098
9 Dy 0.2500 0.0041 0.3447
10 Dy 0.7500 0.7500 0.0902

energy = -56.09 eV per cell
total magnetization = 0.000 μB/f.u.
formation energy = -4.318 eV/f.u.
DOS at the Fermi energy = 3.63 states/eV/f.u.